! SmYP2O8 | Alexandria via LeMat-Bulk | GGA-PBE | optimized geometry; values from VASP
! * uncorrected energy: -8.022 eV per atom
! * formation energy without anion corrections: -2.883 eV per atom
! * SG: No. 164
&SYSTEM
  ibrav = 0, nat = 12, ntyp = 4
/
ATOMIC_SPECIES
Sm 150.36 Sm.upf
Y 88.91 Y.upf
P 30.97 P.upf
O 16.00 O.upf
ATOMIC_POSITIONS crystal
Sm 0.000 0.000 0.000
Y 0.000 0.000 0.500
P 0.667 0.333 0.199
P 0.333 0.667 0.801
O 0.333 0.667 0.016
O 0.346 0.173 0.275
O 0.827 0.173 0.275
O 0.667 0.333 0.984
O 0.173 0.827 0.725
O 0.654 0.827 0.725
O 0.173 0.346 0.725
O 0.827 0.654 0.275
CELL_PARAMETERS angstrom
-1.685 2.506 4.315
0.859 -5.194 0.138
6.717 1.163 1.948

---

! SmZr6P9O36 | Alexandria via LeMat-Bulk | GGA-PBE | optimized geometry; values from VASP
! * uncorrected energy: -8.204 eV per atom
! * formation energy without anion corrections: -2.758 eV per atom
! * SG: No. 165
&SYSTEM
  ibrav = 0, nat = 104, ntyp = 4
/
ATOMIC_SPECIES
Sm 150.36 Sm.upf
Zr 91.22 Zr.upf
P 30.97 P.upf
O 16.00 O.upf
ATOMIC_POSITIONS crystal
Sm 0.000 0.000 0.500
Sm 0.000 0.000 0.000
Zr 0.667 0.333 0.470
Zr 0.333 0.667 0.530
Zr 0.333 0.667 0.030
Zr 0.667 0.333 0.970
Zr 0.000 0.000 0.350
Zr 0.000 0.000 0.650
Zr 0.000 0.000 0.150
Zr 0.000 0.000 0.850
Zr 0.667 0.333 0.188
Zr 0.333 0.667 0.812
Zr 0.333 0.667 0.312
Zr 0.667 0.333 0.688
P 0.624 0.945 0.421
P 0.376 0.055 0.579
P 0.321 0.376 0.421
P 0.679 0.055 0.079
P 0.679 0.624 0.579
P 0.321 0.945 0.921
P 0.055 0.679 0.421
P 0.945 0.624 0.079
P 0.945 0.321 0.579
P 0.055 0.376 0.921
P 0.376 0.321 0.079
P 0.624 0.679 0.921
P 0.709 0.709 0.250
P 0.291 0.291 0.750
P 0.000 0.291 0.250
P 0.000 0.709 0.750
P 0.291 0.000 0.250
P 0.709 0.000 0.750
O 0.541 0.840 0.476
O 0.459 0.160 0.524
O 0.299 0.459 0.476
O 0.701 0.160 0.024
O 0.701 0.541 0.524
O 0.299 0.840 0.976
O 0.160 0.701 0.476
O 0.840 0.541 0.024
O 0.840 0.299 0.524
O 0.160 0.459 0.976
O 0.459 0.299 0.024
O 0.541 0.701 0.976
O 0.636 0.122 0.423
O 0.364 0.878 0.577
O 0.487 0.364 0.423
O 0.513 0.878 0.077
O 0.513 0.636 0.577
O 0.487 0.122 0.923
O 0.878 0.513 0.423
O 0.122 0.636 0.077
O 0.122 0.487 0.577
O 0.878 0.364 0.923
O 0.364 0.487 0.077
O 0.636 0.513 0.923
O 0.816 0.977 0.421
O 0.184 0.023 0.579
O 0.162 0.184 0.421
O 0.838 0.023 0.079
O 0.838 0.816 0.579
O 0.162 0.977 0.921
O 0.023 0.838 0.421
O 0.977 0.816 0.079
O 0.977 0.162 0.579
O 0.023 0.184 0.921
O 0.184 0.162 0.079
O 0.816 0.838 0.921
O 0.969 0.173 0.304
O 0.031 0.827 0.696
O 0.204 0.031 0.304
O 0.796 0.827 0.196
O 0.796 0.969 0.696
O 0.204 0.173 0.804
O 0.827 0.796 0.304
O 0.173 0.969 0.196
O 0.173 0.204 0.696
O 0.827 0.031 0.804
O 0.031 0.204 0.196
O 0.969 0.796 0.804
O 0.532 0.849 0.366
O 0.468 0.151 0.634
O 0.318 0.468 0.366
O 0.682 0.151 0.134
O 0.682 0.532 0.634
O 0.318 0.849 0.866
O 0.151 0.682 0.366
O 0.849 0.532 0.134
O 0.849 0.318 0.634
O 0.151 0.468 0.866
O 0.468 0.318 0.134
O 0.532 0.682 0.866
O 0.533 0.692 0.260
O 0.467 0.308 0.740
O 0.159 0.467 0.260
O 0.841 0.308 0.240
O 0.841 0.533 0.740
O 0.159 0.692 0.760
O 0.308 0.841 0.260
O 0.692 0.533 0.240
O 0.692 0.159 0.740
O 0.308 0.467 0.760
O 0.467 0.159 0.240
O 0.533 0.841 0.760
CELL_PARAMETERS angstrom
8.962 0.000 0.000
-4.481 7.762 0.000
0.000 0.000 23.012

---

! SnP4O11 | Alexandria via LeMat-Bulk | GGA-PBE | optimized geometry; values from VASP
! * uncorrected energy: -6.983 eV per atom
! * formation energy without anion corrections: -1.971 eV per atom
! * SG: No. 2
&SYSTEM
  ibrav = 0, nat = 64, ntyp = 3
/
ATOMIC_SPECIES
Sn 118.71 Sn.upf
P 30.97 P.upf
O 16.00 O.upf
ATOMIC_POSITIONS crystal
Sn 0.778 0.741 0.996
Sn 0.258 0.716 0.490
Sn 0.742 0.284 0.510
Sn 0.222 0.259 0.004
P 0.919 0.560 0.241
P 0.770 0.945 0.592
P 0.856 0.257 0.082
P 0.443 0.770 0.081
P 0.745 0.647 0.426
P 0.582 0.936 0.758
P 0.930 0.074 0.262
P 0.448 0.585 0.249
P 0.552 0.415 0.751
P 0.070 0.926 0.738
P 0.418 0.064 0.242
P 0.255 0.353 0.574
P 0.557 0.230 0.919
P 0.144 0.743 0.918
P 0.230 0.055 0.408
P 0.081 0.440 0.759
O 0.099 0.741 0.032
O 0.866 0.926 0.207
O 0.898 0.926 0.707
O 0.808 0.589 0.129
O 0.907 0.389 0.215
O 0.575 0.785 0.053
O 0.754 0.816 0.457
O 0.424 0.892 0.203
O 0.877 0.606 0.379
O 0.639 0.916 0.629
O 0.903 0.130 0.133
O 0.687 0.242 0.050
O 0.691 0.909 0.872
O 0.620 0.590 0.288
O 0.418 0.634 0.114
O 0.221 0.922 0.437
O 0.740 0.601 0.538
O 0.903 0.181 0.378
O 0.412 0.694 0.358
O 0.436 0.866 0.698
O 0.931 0.389 0.719
O 0.610 0.565 0.803
O 0.390 0.435 0.197
O 0.069 0.611 0.281
O 0.564 0.134 0.302
O 0.588 0.306 0.642
O 0.097 0.819 0.622
O 0.260 0.399 0.462
O 0.779 0.078 0.563
O 0.582 0.366 0.886
O 0.380 0.410 0.712
O 0.309 0.091 0.128
O 0.313 0.758 0.950
O 0.097 0.870 0.867
O 0.361 0.084 0.371
O 0.123 0.394 0.621
O 0.576 0.108 0.797
O 0.246 0.184 0.543
O 0.425 0.215 0.947
O 0.093 0.611 0.785
O 0.192 0.411 0.871
O 0.102 0.074 0.293
O 0.134 0.074 0.793
O 0.901 0.259 0.968
CELL_PARAMETERS angstrom
10.075 -0.124 0.198
0.236 10.062 0.308
-3.663 -3.693 9.728

---

! SnP4O11 | Alexandria via LeMat-Bulk | GGA-PBE | optimized geometry; values from VASP
! * uncorrected energy: -6.990 eV per atom
! * formation energy without anion corrections: -1.979 eV per atom
! * SG: No. 14
&SYSTEM
  ibrav = 0, nat = 64, ntyp = 3
/
ATOMIC_SPECIES
Sn 118.71 Sn.upf
P 30.97 P.upf
O 16.00 O.upf
ATOMIC_POSITIONS crystal
Sn 0.472 0.500 0.723
Sn 0.972 0.500 0.777
Sn 0.028 0.500 0.223
Sn 0.528 0.500 0.277
P 0.218 0.500 0.577
P 0.168 0.836 0.263
P 0.499 0.890 0.306
P 0.833 0.836 0.403
P 0.333 0.164 0.097
P 0.999 0.110 0.194
P 0.718 0.500 0.923
P 0.668 0.164 0.237
P 0.332 0.836 0.763
P 0.282 0.500 0.077
P 0.001 0.890 0.806
P 0.667 0.836 0.903
P 0.167 0.164 0.597
P 0.501 0.110 0.694
P 0.832 0.164 0.737
P 0.782 0.500 0.423
O 0.887 0.260 0.777
O 0.487 0.782 0.259
O 0.759 0.690 0.410
O 0.106 0.500 0.608
O 0.307 0.498 0.653
O 0.389 0.254 0.964
O 0.242 0.694 0.401
O 0.250 0.999 0.137
O 0.901 0.946 0.262
O 0.599 0.050 0.210
O 0.511 0.788 0.460
O 0.011 0.212 0.040
O 0.099 0.950 0.290
O 0.889 0.746 0.536
O 0.807 0.502 0.847
O 0.401 0.054 0.238
O 0.606 0.500 0.892
O 0.750 0.001 0.363
O 0.742 0.306 0.099
O 0.259 0.310 0.090
O 0.387 0.740 0.723
O 0.013 0.782 0.759
O 0.987 0.218 0.241
O 0.613 0.260 0.277
O 0.741 0.690 0.910
O 0.258 0.694 0.901
O 0.250 0.999 0.637
O 0.394 0.500 0.108
O 0.599 0.946 0.762
O 0.193 0.498 0.153
O 0.111 0.254 0.464
O 0.901 0.050 0.710
O 0.989 0.788 0.960
O 0.489 0.212 0.540
O 0.401 0.950 0.790
O 0.099 0.054 0.738
O 0.750 0.001 0.863
O 0.758 0.306 0.599
O 0.611 0.746 0.036
O 0.693 0.502 0.347
O 0.894 0.500 0.392
O 0.241 0.310 0.590
O 0.513 0.218 0.741
O 0.113 0.740 0.223
CELL_PARAMETERS angstrom
-9.167 6.254 6.267
-2.679 -7.838 3.902
3.179 -6.131 10.768

---

! Sn2P3O10 | Alexandria via LeMat-Bulk | GGA-PBE | optimized geometry; values from VASP
! * uncorrected energy: -6.817 eV per atom
! * formation energy without anion corrections: -1.896 eV per atom
! * SG: No. 11
&SYSTEM
  ibrav = 0, nat = 30, ntyp = 3
/
ATOMIC_SPECIES
Sn 118.71 Sn.upf
P 30.97 P.upf
O 16.00 O.upf
ATOMIC_POSITIONS crystal
Sn 0.958 0.951 0.342
Sn 0.542 0.951 0.342
Sn 0.458 0.049 0.658
Sn 0.042 0.049 0.658
P 0.750 0.739 0.854
P 0.250 0.509 0.407
P 0.250 0.449 0.818
P 0.750 0.551 0.182
P 0.750 0.491 0.593
P 0.250 0.261 0.146
O 0.886 0.897 0.832
O 0.614 0.897 0.832
O 0.250 0.748 0.744
O 0.386 0.652 0.428
O 0.114 0.652 0.428
O 0.750 0.772 0.492
O 0.886 0.692 0.210
O 0.614 0.692 0.210
O 0.750 0.545 0.011
O 0.750 0.517 0.761
O 0.250 0.483 0.239
O 0.250 0.455 0.989
O 0.386 0.308 0.790
O 0.114 0.308 0.790
O 0.250 0.228 0.508
O 0.886 0.348 0.572
O 0.614 0.348 0.572
O 0.750 0.252 0.256
O 0.386 0.103 0.168
O 0.114 0.103 0.168
CELL_PARAMETERS angstrom
-8.919 -1.982 -2.458
1.589 -1.257 -4.753
1.819 -9.197 0.815

---

! SnP2O2 | Alexandria via LeMat-Bulk | GGA-PBE | optimized geometry; values from VASP
! * uncorrected energy: -5.432 eV per atom
! * formation energy without anion corrections: -0.485 eV per atom
! * SG: No. 123
&SYSTEM
  ibrav = 0, nat = 5, ntyp = 3
/
ATOMIC_SPECIES
P 30.97 P.upf
Sn 118.71 Sn.upf
O 16.00 O.upf
ATOMIC_POSITIONS crystal
P 0.000 0.000 0.000
P 0.000 0.000 0.500
Sn 0.500 0.500 0.500
O 0.000 0.500 0.000
O 0.500 0.000 0.000
CELL_PARAMETERS angstrom
-0.290 2.342 -2.889
-2.992 1.575 1.578
2.741 3.025 2.177

---

! SnP2O2 | Alexandria via LeMat-Bulk | GGA-PBE | optimized geometry; values from VASP
! * uncorrected energy: -4.703 eV per atom
! * formation energy without anion corrections: 0.245 eV per atom
! * SG: No. 123
&SYSTEM
  ibrav = 0, nat = 5, ntyp = 3
/
ATOMIC_SPECIES
P 30.97 P.upf
Sn 118.71 Sn.upf
O 16.00 O.upf
ATOMIC_POSITIONS crystal
P 0.000 0.500 0.000
P 0.500 0.000 0.000
Sn 0.500 0.500 0.500
O 0.000 0.000 0.000
O 0.000 0.000 0.500
CELL_PARAMETERS angstrom
3.706 0.000 0.000
0.000 3.706 0.000
0.000 0.000 5.865

---

! Sn2P2O7 | Alexandria via LeMat-Bulk | GGA-PBE | optimized geometry; values from VASP
! * uncorrected energy: -6.794 eV per atom
! * formation energy without anion corrections: -1.927 eV per atom
! * SG: No. 2
&SYSTEM
  ibrav = 0, nat = 44, ntyp = 3
/
ATOMIC_SPECIES
Sn 118.71 Sn.upf
P 30.97 P.upf
O 16.00 O.upf
ATOMIC_POSITIONS crystal
Sn 0.289 0.509 0.150
Sn 0.842 0.160 0.020
Sn 0.711 0.491 0.850
Sn 0.158 0.840 0.980
Sn 0.228 0.368 0.477
Sn 0.682 0.959 0.361
Sn 0.318 0.041 0.639
Sn 0.772 0.632 0.523
P 0.811 0.259 0.640
P 0.792 0.726 0.149
P 0.300 0.661 0.742
P 0.700 0.339 0.258
P 0.696 0.872 0.753
P 0.304 0.128 0.247
P 0.189 0.741 0.360
P 0.208 0.274 0.851
O 0.602 0.147 0.579
O 0.420 0.798 0.756
O 0.367 0.185 0.802
O 0.865 0.899 0.876
O 0.398 0.853 0.421
O 0.809 0.801 0.655
O 0.191 0.199 0.345
O 0.366 0.013 0.267
O 0.149 0.265 0.971
O 0.025 0.263 0.571
O 0.975 0.737 0.429
O 0.323 0.402 0.859
O 0.703 0.372 0.670
O 0.863 0.391 0.383
O 0.633 0.815 0.198
O 0.634 0.987 0.733
O 0.521 0.596 0.755
O 0.677 0.598 0.141
O 0.143 0.671 0.839
O 0.857 0.329 0.161
O 0.297 0.628 0.330
O 0.928 0.239 0.766
O 0.580 0.202 0.244
O 0.072 0.761 0.234
O 0.135 0.101 0.124
O 0.137 0.609 0.617
O 0.479 0.404 0.245
O 0.851 0.735 0.029
CELL_PARAMETERS angstrom
-2.234 4.781 -1.249
-6.605 -2.558 9.579
10.438 3.916 4.393

---

! SnP3O | Alexandria via LeMat-Bulk | GGA-PBE | optimized geometry; values from VASP
! * uncorrected energy: -4.542 eV per atom
! * formation energy without anion corrections: 0.496 eV per atom
! * SG: No. 221
&SYSTEM
  ibrav = 0, nat = 5, ntyp = 3
/
ATOMIC_SPECIES
P 30.97 P.upf
Sn 118.71 Sn.upf
O 16.00 O.upf
ATOMIC_POSITIONS crystal
P 0.000 0.500 0.000
P 0.000 0.000 0.500
P 0.500 0.000 0.000
Sn 0.500 0.500 0.500
O 0.000 0.000 0.000
CELL_PARAMETERS angstrom
4.306 0.000 0.000
0.000 4.306 0.000
0.000 0.000 4.306

---

! Sn2PO | Alexandria via LeMat-Bulk | GGA-PBE | optimized geometry; values from VASP
! * uncorrected energy: -4.617 eV per atom
! * formation energy without anion corrections: -0.023 eV per atom
! * SG: No. 225
&SYSTEM
  ibrav = 0, nat = 4, ntyp = 3
/
ATOMIC_SPECIES
P 30.97 P.upf
Sn 118.71 Sn.upf
O 16.00 O.upf
ATOMIC_POSITIONS crystal
P 0.500 0.500 0.500
Sn 0.250 0.250 0.250
Sn 0.750 0.750 0.750
O 0.000 0.000 0.000
CELL_PARAMETERS angstrom
3.065 -3.475 0.471
-1.229 -3.905 2.222
-0.578 -3.956 -2.390